Below is a relaxed structure of Pa2Zn3Ga, with properties calculated at the PBE-GGA level.

Cell: 5.6291 5.6292 8.3070 Å, 90.00 90.00 120.00°
Fractional positions:
Pa (0.6667, 0.3333, 0.4144)
Pa (0.3333, 0.6667, 0.5856)
Pa (0.3333, 0.6667, 0.9144)
Pa (0.6667, 0.3333, 0.0856)
Zn (0.1756, 0.3512, 0.2500)
Zn (0.3512, 0.1756, 0.7500)
Zn (0.8244, 0.6488, 0.7500)
Zn (0.1756, 0.8244, 0.2500)
Zn (0.8244, 0.1756, 0.7500)
Zn (0.6488, 0.8244, 0.2500)
Ga (0.0000, 0.0000, 0.5000)
Ga (0.0000, 0.0000, 0.0000)

Energy relative to the elements = -13.8 kJ per mole of atoms



Below is a relaxed structure of BeC2, with properties calculated at the PBE-GGA level.

Cell: 3.0127 3.0127 5.6760 Å, 90.00 90.00 120.00°
Fractional positions:
Be (0.6667, 0.3333, 0.7500)
Be (0.3333, 0.6667, 0.2500)
C (0.0000, 0.0000, 0.8760)
C (0.0000, 0.0000, 0.3760)
C (0.0000, 0.0000, 0.1240)
C (0.0000, 0.0000, 0.6240)

Energy relative to the elements = 102.4 kJ per mole of atoms
Polymorph energy (0 for the lowest one) = 675 meV/atom



Below is a relaxed structure of MgBeW2, with properties calculated at the PBE-GGA level.

Cell: 3.7261 3.7261 9.8030 Å, 79.04 79.04 90.00°
Fractional positions:
Be (0.5000, 0.5000, 0.0000)
Be (0.2500, 0.7500, 0.5000)
Mg (0.0000, 0.0000, 0.0000)
Mg (0.7500, 0.2500, 0.5000)
W (0.6151, 0.1250, 0.2500)
W (0.1349, 0.6250, 0.2500)
W (0.3750, 0.3849, 0.7500)
W (0.8750, 0.8651, 0.7500)

Energy relative to the elements = 85.3 kJ per mole of atoms
Polymorph energy (0 for the lowest one) = 591 meV/atom



Below is a relaxed structure of TlPb2Se, with properties calculated at the PBE-GGA level.

Cell: 5.4483 5.4483 5.4483 Å, 60.00 60.00 60.00°
Fractional positions:
Pb (0.2500, 0.2500, 0.2500)
Pb (0.7500, 0.7500, 0.7500)
Tl (0.5000, 0.5000, 0.5000)
Se (0.0000, 0.0000, 0.0000)

Formation energy (no corrections) = -0.0009 eV per atom
Polymorph energy (0 for the lowest one) = 152 meV/atom



Below is a relaxed structure of Er6Te3As2Se, with properties calculated at the PBE-GGA level.

Cell: 4.1595 8.4727 9.4532 Å, 104.58 102.71 90.00°
Fractional positions:
Er (0.3379, 0.8940, 0.6757)
Er (0.6749, 0.5642, 0.3499)
Er (0.6621, 0.1060, 0.3243)
Er (0.0096, 0.2348, 0.0191)
Er (0.9904, 0.7652, 0.9809)
Er (0.3251, 0.4358, 0.6501)
Te (0.5000, 0.5000, 0.0000)
Te (0.8350, 0.1668, 0.6701)
Te (0.1650, 0.8332, 0.3299)
As (0.8334, 0.6670, 0.6667)
As (0.1666, 0.3330, 0.3333)
Se (0.5000, 0.0000, 0.0000)

Formation energy (no corrections) = -1.4670 eV per atom



Below is a relaxed structure of VBPS2, with properties calculated at the PBE-GGA level.

Cell: 4.5053 4.5053 4.6187 Å, 90.00 90.00 90.00°
Fractional positions:
P (0.0000, 0.0000, 0.5000)
S (0.0000, 0.5000, 0.0000)
S (0.5000, 0.0000, 0.0000)
B (0.5000, 0.5000, 0.5000)
V (0.0000, 0.0000, 0.0000)

Formation energy (no corrections) = 0.9163 eV per atom
Polymorph energy (0 for the lowest one) = 165 meV/atom